No. 1
# BaAc8Sn6

BaAc8Sn6 after structural relaxation (PBE, the Alexandria database).

**Formation enthalpy at 0 K**: -0.55 eV per atom
**Raw total energy**: -4.467 eV/atom
**SG**: R-3 (148)
**Spin magnetization**: 0.0 μB per cell

The structure in POSCAR format:
```
BaAc8Sn6
1.0
10.028 0.000 0.000
5.014 8.684 0.000
5.014 2.895 6.978
Ac Sn Ba
8 6 1
Cartesian
13.389 5.854 2.131
8.291 8.669 2.131
15.042 8.684 6.961
6.666 5.725 4.848
5.014 2.895 0.017
11.764 2.910 4.848
8.402 2.846 2.131
11.653 8.733 4.848
11.747 2.959 1.446
11.620 8.693 1.446
8.436 2.886 5.532
6.717 5.716 1.446
8.309 8.620 5.532
13.338 5.863 5.532
0.000 0.000 0.000
```



No. 2
# BaAcSn2

BaAcSn2 after structural relaxation (PBE, the Alexandria database).

**Formation enthalpy at 0 K**: -0.66 eV per atom
**Raw total energy**: -4.168 eV/atom
**SG**: Pmc2_1 (26)
**Spin magnetization**: 0.8 μB per cell

The structure in POSCAR format:
```
BaAcSn2
1.0
-2.109 3.739 1.666
-6.012 -2.541 -1.908
-0.884 -4.279 8.488
Ac Ba Sn
2 2 4
Cartesian
-5.621 -3.247 6.539
-3.502 -0.399 2.828
-1.401 -3.252 5.527
-5.374 -2.978 -0.117
-2.421 -1.166 -0.448
-4.098 -3.827 3.404
-2.677 -2.590 8.792
-6.711 -2.343 3.127
```



No. 3
# Ba3Ac4Sn4

Ba3Ac4Sn4 after structural relaxation (PBE, the Alexandria database).

**Formation enthalpy at 0 K**: -0.49 eV per atom
**Raw total energy**: -3.962 eV/atom
**SG**: Immm (71)
**Spin magnetization**: 2.2 μB per cell

The structure in POSCAR format:
```
Ba3Ac4Sn4
1.0
4.818 0.000 0.000
0.000 10.316 0.000
-2.409 -5.158 9.368
Ac Sn Ba
4 4 3
Cartesian
0.000 2.021 6.126
2.409 3.137 3.242
0.000 -2.021 6.126
2.409 7.179 3.242
0.000 5.158 4.595
2.409 7.945 0.000
2.409 0.000 4.773
2.409 2.371 0.000
0.000 5.158 0.000
0.000 0.000 1.888
2.409 5.158 7.480
```



No. 4
# BaAcSn3

BaAcSn3 after structural relaxation (PBE, the Alexandria database).

**Formation enthalpy at 0 K**: -0.61 eV per atom
**Raw total energy**: -4.214 eV/atom
**SG**: Cmcm (63)
**Spin magnetization**: 0.0 μB per cell

The structure in POSCAR format:
```
BaAcSn3
1.0
-2.759 -3.055 -2.247
0.170 -3.092 3.996
-12.551 8.473 3.892
Sn Ac Ba
6 2 2
Cartesian
-5.274 0.284 3.642
-10.036 4.430 3.855
-12.481 5.789 5.010
-5.104 -2.104 1.787
-2.659 -3.463 0.631
-9.867 2.042 1.999
-7.119 0.515 0.701
-8.021 1.811 4.941
-12.565 2.042 5.312
-2.576 0.284 0.329
```



No. 5
# BaAcSn2

BaAcSn2 after structural relaxation (PBE, the Alexandria database).

**Formation enthalpy at 0 K**: -0.38 eV per atom
**Raw total energy**: -3.889 eV/atom
**SG**: R-3m (166)
**Spin magnetization**: 0.0 μB per cell

The structure in POSCAR format:
```
BaAcSn2
1.0
4.341 0.000 0.000
2.170 3.759 0.000
2.170 1.253 9.893
Ac Ba Sn
1 1 2
Cartesian
0.000 0.000 0.000
4.341 2.506 4.946
6.511 3.759 7.500
2.170 1.253 2.393
```



No. 6
# BaSrAcSn

BaSrAcSn after structural relaxation (PBE, the Alexandria database).

**Formation enthalpy at 0 K**: -0.18 eV per atom
**Raw total energy**: -3.112 eV/atom
**SG**: F-43m (216)
**Spin magnetization**: 0.0 μB per cell

The structure in POSCAR format:
```
BaSrAcSn
1.0
-5.346 -1.478 -2.589
-0.091 -2.969 -5.353
-1.778 -5.854 -0.224
Ba Sr Sn Ac
1 1 1 1
Cartesian
-3.608 -5.150 -4.083
-1.804 -2.575 -2.041
-5.411 -7.726 -6.124
0.000 0.000 0.000
```



No. 7
# Ba2AcSnTe5

Ba2AcSnTe5 after structural relaxation (PBE, the Alexandria database).

**Raw formation energy**: -1.28 eV per atom
**Raw total energy**: -4.352 eV/atom
**SG**: Cmc2_1 (36)
**Spin magnetization**: 0.0 μB per cell

The structure in POSCAR format:
```
Ba2AcSnTe5
1.0
4.910 0.000 0.000
-2.455 10.381 0.000
0.000 0.000 14.084
Te Sn Ba Ac
10 2 4 2
Cartesian
0.000 5.970 9.515
2.455 2.756 7.051
0.000 6.657 5.066
2.455 3.724 12.108
2.455 9.396 7.932
0.000 10.273 10.714
2.455 4.411 2.473
0.000 0.985 0.890
2.455 0.108 3.672
0.000 7.626 0.009
0.000 9.380 6.317
2.455 1.001 13.359
0.000 2.354 9.610
2.455 7.772 11.481
2.455 8.027 2.568
0.000 2.609 4.439
2.455 5.990 7.298
0.000 4.391 0.256
```



No. 8
# Ba2AcSnTe4

Ba2AcSnTe4 after structural relaxation (PBE, the Alexandria database).

**Raw formation energy**: -1.30 eV per atom
**Raw total energy**: -4.362 eV/atom
**SG**: Imma (74)
**Spin magnetization**: 0.0 μB per cell

The structure in POSCAR format:
```
Ba2AcSnTe4
1.0
-4.452 4.533 -7.267
4.224 -5.963 -6.307
-5.156 -3.597 7.270
Te Sn Ac Ba
8 2 2 4
Cartesian
-2.968 -6.991 0.789
-2.415 1.964 -7.094
-2.493 -2.146 0.112
-0.105 -0.481 -3.254
-2.890 -2.881 -6.416
-0.557 -4.991 -2.864
-4.826 -0.036 -3.441
-5.278 -4.546 -3.051
-2.692 -2.513 -3.152
-9.607 0.936 0.002
2.112 -2.981 -3.153
-4.917 -0.247 -6.786
-4.804 0.468 0.001
-0.114 -0.715 -6.787
-2.226 2.266 -3.634
-2.578 -1.798 3.635
```